1.
The following is a PBE calculation of a relaxed SmMgPdRh crystal, from the Alexandria database.

Energy of formation from the pure elements, eV per atom: -0.67
Volume, Å³/atom: 19.2

Lattice parameters (Å, degrees): 4.7724 4.7724 4.7724 60.00 60.00 60.00
Fractional coordinates of all 4 atoms:
Mg (0.7500, 0.7500, 0.7500)
Rh (0.5000, 0.5000, 0.5000)
Pd (0.0000, 0.0000, 0.0000)
Sm (0.2500, 0.2500, 0.2500)

=====

2.
The following is a PBE calculation of a relaxed TbMgPdRh crystal, from the Alexandria database.

Energy of formation from the pure elements, eV per atom: -0.74
Volume, Å³/atom: 18.6

Lattice parameters (Å, degrees): 4.7174 4.7174 4.7174 60.00 60.00 60.00
Fractional coordinates of all 4 atoms:
Rh (0.5000, 0.5000, 0.5000)
Mg (0.7500, 0.7500, 0.7500)
Tb (0.2500, 0.2500, 0.2500)
Pd (0.0000, 0.0000, 0.0000)

=====

3.
The following is a PBE calculation of a relaxed MgTe2PdRh crystal, from the Alexandria database.

Volume, Å³/atom: 25.1
Total energy, eV/atom: -3.33

Lattice parameters (Å, degrees): 5.2254 4.5871 5.2254 90.00 90.00 90.00
Fractional coordinates of all 5 atoms:
Mg (0.0000, 0.0000, 0.0000)
Te (0.0000, 0.0000, 0.5000)
Te (0.5000, 0.0000, 0.0000)
Rh (0.0000, 0.5000, 0.0000)
Pd (0.5000, 0.5000, 0.5000)

=====

4.
The following is a PBE calculation of a relaxed ThMgPdRh crystal, from the Alexandria database.

Energy of formation from the pure elements, eV per atom: -0.68
Volume, Å³/atom: 20.3

Lattice parameters (Å, degrees): 4.8599 4.8599 4.8599 60.00 60.00 60.00
Fractional coordinates of all 4 atoms:
Mg (0.7500, 0.7500, 0.7500)
Rh (0.5000, 0.5000, 0.5000)
Pd (0.0000, 0.0000, 0.0000)
Th (0.2500, 0.2500, 0.2500)

=====

5.
The following is a PBE calculation of a relaxed Th2MgPdRh5 crystal, from the Alexandria database.

Energy of formation from the pure elements, eV per atom: -0.21
Volume, Å³/atom: 20.4

Lattice parameters (Å, degrees): 8.3193 8.3193 7.9196 121.68 121.68 90.00
Fractional coordinates of all 18 atoms:
Th (0.1400, 0.3600, 0.0000)
Th (0.6400, 0.1400, 0.0000)
Th (0.3600, 0.8600, 0.0000)
Th (0.8600, 0.6400, 0.0000)
Mg (0.2500, 0.2500, 0.5000)
Mg (0.7500, 0.7500, 0.5000)
Pd (0.2500, 0.7500, 0.5000)
Pd (0.7500, 0.2500, 0.5000)
Rh (0.9462, 0.4462, 0.2768)
Rh (0.6693, 0.1693, 0.7232)
Rh (0.0538, 0.5538, 0.7232)
Rh (0.1693, 0.0538, 0.7232)
Rh (0.5538, 0.6693, 0.7232)
Rh (0.8307, 0.9462, 0.2768)
Rh (0.4462, 0.3307, 0.2768)
Rh (0.3307, 0.8307, 0.2768)
Rh (0.5000, 0.5000, 0.0000)
Rh (0.0000, 0.0000, 0.0000)

=====

6.
The following is a PBE calculation of a relaxed TmMgPdRh crystal, from the Alexandria database.

Energy of formation from the pure elements, eV per atom: -0.81
Volume, Å³/atom: 17.9

Lattice parameters (Å, degrees): 4.6613 4.6613 4.6613 60.00 60.00 60.00
Fractional coordinates of all 4 atoms:
Mg (0.7500, 0.7500, 0.7500)
Tm (0.2500, 0.2500, 0.2500)
Rh (0.5000, 0.5000, 0.5000)
Pd (0.0000, 0.0000, 0.0000)

=====

7.
The following is a PBE calculation of a relaxed MgV2PdRh crystal, from the Alexandria database.

Energy of formation from the pure elements, eV per atom: 0.77
Volume, Å³/atom: 20.1

Lattice parameters (Å, degrees): 4.4544 5.0624 4.4544 90.00 90.00 90.00
Fractional coordinates of all 5 atoms:
Mg (0.5000, 0.5000, 0.5000)
Rh (0.0000, 0.0000, 0.0000)
Pd (0.0000, 0.5000, 0.0000)
V (0.0000, 0.0000, 0.5000)
V (0.5000, 0.0000, 0.0000)

=====

8.
The following is a PBE calculation of a relaxed Mg2Zn5Pd2Rh crystal, from the Alexandria database.

Energy of formation from the pure elements, eV per atom: -0.40
Volume, Å³/atom: 15.9

Lattice parameters (Å, degrees): 4.0217 8.8972 8.8972 90.00 90.00 90.00
Fractional coordinates of all 20 atoms:
Mg (0.0000, 0.6737, 0.1737)
Mg (0.0000, 0.3263, 0.8263)
Mg (0.0000, 0.1737, 0.3263)
Mg (0.0000, 0.8263, 0.6737)
Zn (0.5000, 0.1943, 0.0694)
Zn (0.5000, 0.8057, 0.9306)
Zn (0.5000, 0.0694, 0.8057)
Zn (0.5000, 0.6943, 0.4306)
Zn (0.5000, 0.9306, 0.1943)
Zn (0.5000, 0.3057, 0.5694)
Zn (0.5000, 0.5694, 0.6943)
Zn (0.5000, 0.4306, 0.3057)
Zn (0.5000, 0.5000, 0.0000)
Zn (0.5000, 0.0000, 0.5000)
Pd (0.0000, 0.1232, 0.6232)
Pd (0.0000, 0.8768, 0.3768)
Pd (0.0000, 0.6232, 0.8768)
Pd (0.0000, 0.3768, 0.1232)
Rh (0.0000, 0.0000, 0.0000)
Rh (0.0000, 0.5000, 0.5000)

=====

9.
The following is a PBE calculation of a relaxed Mg3Zn3PdRh2 crystal, from the Alexandria database.

Energy of formation from the pure elements, eV per atom: -0.42
Volume, Å³/atom: 15.8

Lattice parameters (Å, degrees): 3.0140 7.3919 7.3919 120.00 90.00 90.00
Fractional coordinates of all 9 atoms:
Mg (0.0000, 0.6196, 0.6196)
Mg (0.0000, 0.0000, 0.3804)
Mg (0.0000, 0.3804, 0.0000)
Zn (0.5000, 0.7038, 0.0000)
Zn (0.5000, 0.0000, 0.7038)
Zn (0.5000, 0.2962, 0.2962)
Pd (0.0000, 0.0000, 0.0000)
Rh (0.5000, 0.6667, 0.3333)
Rh (0.5000, 0.3333, 0.6667)

=====

10.
The following is a PBE calculation of a relaxed MgZrPdRh crystal, from the Alexandria database.

Energy of formation from the pure elements, eV per atom: -0.72
Volume, Å³/atom: 17.1

Lattice parameters (Å, degrees): 4.5914 4.5914 4.5914 60.00 60.00 60.00
Fractional coordinates of all 4 atoms:
Mg (0.7500, 0.7500, 0.7500)
Rh (0.5000, 0.5000, 0.5000)
Zr (0.2500, 0.2500, 0.2500)
Pd (0.0000, 0.0000, 0.0000)

=====

11.
The following is a PBE calculation of a relaxed MgPd3Ru crystal, from the Alexandria database.

Energy of formation from the pure elements, eV per atom: 0.96
Volume, Å³/atom: 18.7

Lattice parameters (Å, degrees): 4.5408 4.5408 4.5408 90.00 90.00 90.00
Last column: magnetic moment on the atom in μB.
Fractional coordinates of all 5 atoms:
Ru (0.5000, 0.5000, 0.5000)  2.42
Mg (0.0000, 0.0000, 0.0000)  -0.01
Pd (0.0000, 0.5000, 0.0000)  0.11
Pd (0.0000, 0.0000, 0.5000)  0.05
Pd (0.5000, 0.0000, 0.0000)  0.26

=====

12.
The following is a PBE calculation of a relaxed MgPd2Ru2 crystal, from the Alexandria database.

Energy of formation from the pure elements, eV per atom: 0.18
Volume, Å³/atom: 16.8

Lattice parameters (Å, degrees): 3.4845 3.4845 7.3526 76.29 76.29 90.00
Fractional coordinates of all 5 atoms:
Ru (0.7500, 0.2500, 0.5000)
Ru (0.2500, 0.7500, 0.5000)
Mg (0.0000, 0.0000, 0.0000)
Pd (0.4026, 0.4026, 0.1948)
Pd (0.5974, 0.5974, 0.8052)

=====

- What is the formula in the eleventh record?
  MgPd3Ru